1.
Entry from Alexandria via LeMat-Bulk: a relaxed structure of CaLaEuAl (GGA-PBE).

The magnetization is 29.6 μB per cell. Its formation energy from the elements is -58 meV/atom. The total energy is -5.2948 eV/atom.

It has space group F-43m (No. 216), with a = 7.9683 Å, b = 7.9683 Å, c = 7.9683 Å, α = 90.00°, β = 90.00° and γ = 90.00°. The inequivalent atoms are Ca at (0.0000, 0.0000, 0.0000), La at (0.2500, 0.2500, 0.7500), Eu at (0.2500, 0.2500, 0.2500) and Al at (0.0000, 0.0000, 0.5000).

=====

2.
Entry from Alexandria via LeMat-Bulk: a relaxed structure of YBr (GGA-PBE).

The magnetization is 0.0 μB per cell. For the formation energy (no corrections), the calculation gives -0.772 eV per atom. The total energy is -4.8402 eV/atom.

It has space group P4/nmm (No. 129, origin choice 2), with a = 4.6068 Å, b = 4.6068 Å, c = 6.1133 Å, α = 90.00°, β = 90.00° and γ = 90.00°. The inequivalent atoms are Y at (0.2500, 0.2500, 0.1895) and Br at (0.2500, 0.7500, 0.5000).

=====

3.
Entry from Alexandria via LeMat-Bulk: a relaxed structure of TcRhAu (GGA-PBE).

The magnetization is 0.0 μB per cell. Its formation energy from the elements is 80 meV/atom. The total energy is -6.9184 eV/atom.

It has space group I4mm (No. 107), with a = 2.8046 Å, b = 2.8046 Å, c = 11.8781 Å, α = 90.00°, β = 90.00° and γ = 90.00°. The inequivalent atoms are Tc at (0.0000, 0.0000, 0.0000), Rh at (0.0000, 0.0000, 0.3585) and Au at (0.0000, 0.0000, 0.6765).

=====

4.
Entry from Alexandria via LeMat-Bulk: a relaxed structure of Li2Ce3Se6 (GGA-PBE).

The magnetization is 4.3 μB per cell. For the formation energy (no corrections), the calculation gives -1.457 eV per atom. The total energy is -5.3237 eV/atom.

It has space group I4/mmm (No. 139), with a = 4.7859 Å, b = 4.7859 Å, c = 23.0048 Å, α = 90.00°, β = 90.00° and γ = 90.00°. The inequivalent atoms are Li at (0.0000, 0.0000, 0.0998), Ce at (0.0000, 0.0000, 0.3315), Ce at (0.0000, 0.0000, 0.5000), Se at (0.0000, 0.0000, 0.2071) and Se at (0.0000, 0.5000, 0.0799).

=====

Number 3 is which compound?
TcRhAu

=====

What did the third record say?
Entry from Alexandria via LeMat-Bulk: a relaxed structure of TcRhAu (GGA-PBE).

The magnetization is 0.0 μB per cell. Its formation energy from the elements is 80 meV/atom. The total energy is -6.9184 eV/atom.

It has space group I4mm (No. 107), with a = 2.8046 Å, b = 2.8046 Å, c = 11.8781 Å, α = 90.00°, β = 90.00° and γ = 90.00°. The inequivalent atoms are Tc at (0.0000, 0.0000, 0.0000), Rh at (0.0000, 0.0000, 0.3585) and Au at (0.0000, 0.0000, 0.6765).